# 1
VASP calculation (PBE) on a relaxed structure of LaV2Co2.

Values from the calculation:
As for the calculated formation energy: 4.1 kcal/mol of atoms. The calculation puts the density of states at the Fermi level at 6.57 states/eV/f.u.

Unit cell a=7.367 b=7.367 c=2.748 alpha=90.00 beta=90.00 gamma=90.00
Positions (direct):
1 La 0.000 0.000 0.000
2 La 0.500 0.500 0.000
3 V 0.150 0.350 0.000
4 V 0.350 0.850 0.000
5 V 0.650 0.150 0.000
6 V 0.850 0.650 0.000
7 Co 0.128 0.628 0.500
8 Co 0.372 0.128 0.500
9 Co 0.628 0.872 0.500
10 Co 0.872 0.372 0.500

---

# 2
VASP calculation (PBE) on a relaxed structure of LaVCo3.

Values from the calculation:
As for the calculated formation energy: 37.9 kcal/mol of atoms. The calculation puts the density of states at the Fermi level at 7.78 states/eV/f.u.

Unit cell a=4.508 b=4.508 c=4.508 alpha=90.00 beta=90.00 gamma=90.00
Positions (direct):
1 La 0.000 0.000 0.000
2 V 0.500 0.500 0.500
3 Co 0.000 0.000 0.500
4 Co 0.000 0.500 0.000
5 Co 0.500 0.000 0.000

---

# 3
VASP calculation (PBE) on a relaxed structure of LaV2Co2.

Values from the calculation:
As for the calculated formation energy: 3.4 kcal/mol of atoms. The calculation puts the density of states at the Fermi level at 6.36 states/eV/f.u.

Unit cell a=5.750 b=5.750 c=5.750 alpha=137.79 beta=137.79 gamma=61.23
Positions (direct):
1 La 0.000 0.000 0.000
2 V 0.359 0.359 0.000
3 V 0.641 0.641 0.000
4 Co 0.250 0.750 0.500
5 Co 0.750 0.250 0.500

---

# 4
VASP calculation (PBE) on a relaxed structure of La2VCo.

Values from the calculation:
As for the calculated formation energy: 7.8 kcal/mol of atoms. The calculation puts the density of states at the Fermi level at 4.35 states/eV/f.u.

Unit cell a=5.130 b=5.130 c=5.130 alpha=60.00 beta=60.00 gamma=60.00
Positions (direct):
1 La 0.250 0.250 0.250
2 La 0.750 0.750 0.750
3 V 0.000 0.000 0.000
4 Co 0.500 0.500 0.500

---

# 5
VASP calculation (PBE) on a relaxed structure of La2VCo2.

Values from the calculation:
As for the calculated formation energy: 4.1 kcal/mol of atoms. The calculation puts the density of states at the Fermi level at 4.73 states/eV/f.u.

Unit cell a=6.581 b=6.581 c=4.623 alpha=90.00 beta=90.00 gamma=90.00
Positions (direct):
1 La 0.173 0.327 0.000
2 La 0.327 0.827 0.000
3 La 0.673 0.173 0.000
4 La 0.827 0.673 0.000
5 V 0.000 0.000 0.500
6 V 0.500 0.500 0.500
7 Co 0.145 0.645 0.500
8 Co 0.355 0.145 0.500
9 Co 0.645 0.855 0.500
10 Co 0.855 0.355 0.500

---

# 6
VASP calculation (PBE) on a relaxed structure of LaV2Co.

Values from the calculation:
As for the calculated formation energy: 11.6 kcal/mol of atoms. The calculation puts the density of states at the Fermi level at 3.39 states/eV/f.u.

Unit cell a=4.432 b=4.432 c=4.432 alpha=60.00 beta=60.00 gamma=60.00
Positions (direct):
1 La 0.000 0.000 0.000
2 V 0.250 0.250 0.250
3 V 0.750 0.750 0.750
4 Co 0.500 0.500 0.500

---

# 7
VASP calculation (PBE) on a relaxed structure of LaVCo3.

Values from the calculation:
As for the calculated formation energy: 8.2 kcal/mol of atoms. The calculation puts the density of states at the Fermi level at 5.44 states/eV/f.u.

Unit cell a=4.388 b=4.388 c=4.388 alpha=90.00 beta=90.00 gamma=90.00
Positions (direct):
1 La 0.000 0.000 0.000
2 V 0.500 0.500 0.500
3 Co 0.000 0.500 0.500
4 Co 0.500 0.000 0.500
5 Co 0.500 0.500 0.000

---

# 8
VASP calculation (PBE) on a relaxed structure of La3VCo.

Values from the calculation:
As for the calculated formation energy: 17.7 kcal/mol of atoms. The calculation puts the density of states at the Fermi level at 8.63 states/eV/f.u.

Unit cell a=5.335 b=5.335 c=5.335 alpha=90.00 beta=90.00 gamma=90.00
Positions (direct):
1 La 0.000 0.000 0.500
2 La 0.000 0.500 0.000
3 La 0.500 0.000 0.000
4 V 0.000 0.000 0.000
5 Co 0.500 0.500 0.500

---

Look up the density of states at the Fermi level of the fourth one. 4.35 states/eV/f.u.

---

What is the calculated formation energy in the eighth record? 17.7 kcal/mol of atoms